Record 1
VASP calculation (PBE) on an optimized crystal structure of Ce2Co3Ni.

Geometry as POSCAR:
```
Ce2Co3Ni
1.0
4.7002 0.0000 0.0000
0.0000 7.0997 -0.6241
0.0000 -3.0207 6.4553
Ce Co Ni
4 6 2
Cartesian
3.5252 1.4156 5.0613 Ce
1.1751 -0.1900 2.7659 Ce
1.1751 2.6633 0.7699 Ce
3.5252 4.2690 3.0653 Ce
0.0000 -1.3425 5.2813 Co
2.3501 -1.3425 5.2813 Co
1.1751 2.2834 3.2643 Co
3.5252 1.7956 2.5669 Co
2.3501 5.4215 0.5498 Co
0.0000 5.4215 0.5498 Co
1.1751 3.7111 5.3052 Ni
3.5252 0.3679 0.5259 Ni
```

For the energy above the most stable polymorph in this dataset, the calculation gives 1.271 eV per formula unit. The formation energy comes out at -0.078 eV/atom. Its symmetry is Cmcm (63).

Record 2
VASP calculation (PBE) on an optimized crystal structure of YAs2SBr.

Geometry as POSCAR:
```
YAs2SBr
1.0
4.8166 0.0000 0.0000
0.0000 4.8166 0.0000
0.0000 0.0000 5.1473
Y As S Br
1 2 1 1
Cartesian
2.4083 2.4083 2.5736 Y
0.0000 2.4083 0.0000 As
2.4083 0.0000 0.0000 As
0.0000 0.0000 0.0000 S
0.0000 0.0000 2.5736 Br
```

For the energy above the most stable polymorph in this dataset, the calculation gives 0.000 eV per formula unit. The uncorrected formation energy is -0.027 eV per atom. Its symmetry is P4/mmm (123).

Record 3
VASP calculation (PBE) on an optimized crystal structure of Pm4SnHgO.

Geometry as POSCAR:
```
Pm4SnHgO
1.0
-3.7785 -1.8914 -5.2069
1.7622 -6.3900 1.0425
-4.7196 -0.0362 7.7560
Pm Sn Hg O
8 2 2 2
Cartesian
-6.9880 -3.3663 1.9759 Pm
-4.4128 -5.6446 5.2527 Pm
0.2522 -4.9514 1.6157 Pm
-2.3231 -2.6731 -1.6611 Pm
-3.3679 -4.1589 1.7958 Pm
-2.3598 -0.0181 3.8780 Pm
-4.2490 -0.9638 1.2745 Pm
-1.4787 -3.2131 4.3992 Pm
-1.0127 -1.8134 1.3937 Sn
-5.7231 -6.5043 2.1979 Sn
-2.0914 -5.9647 -0.6336 Hg
-4.6445 -2.3531 4.2251 Hg
-1.7375 -5.2471 3.1669 O
-4.9983 -3.0707 0.4246 O
```

The uncorrected formation energy is -1.174 eV per atom. Its symmetry is Cmcm (63).

Record 4
VASP calculation (PBE) on an optimized crystal structure of EuHoGaAu.

Geometry as POSCAR:
```
EuHoGaAu
1.0
5.1751 0.0000 0.0000
2.5875 4.4817 0.0000
2.5875 1.4939 4.2254
Eu Au Ho Ga
1 1 1 1
Cartesian
7.7626 4.4817 3.1691 Eu
0.0000 0.0000 0.0000 Au
2.5875 1.4939 1.0564 Ho
5.1751 2.9878 2.1127 Ga
```

The formation energy comes out at -0.624 eV/atom. Its symmetry is F-43m (216).

Q: Number 2 is which compound?
A: YAs2SBr